# FeNi4 PBE-GGA relaxed
data_FeNi4
_chemical_formula_sum 'Fe1 Ni4'
_symmetry_space_group_name_H-M 'P 1'
_symmetry_Int_Tables_number 1
_symmetry_space_group_name_Hall 'P 1'
_cell_length_a 4.3269
_cell_length_b 4.3269
_cell_length_c 4.3269
_cell_angle_alpha 99.67
_cell_angle_beta 99.67
_cell_angle_gamma 131.62
loop_
_atom_site_label
_atom_site_type_symbol
_atom_site_fract_x
_atom_site_fract_y
_atom_site_fract_z
Fe1 Fe 0.0000 0.0000 0.0000
Ni1 Ni 0.1993 0.3994 0.5987
Ni2 Ni 0.3994 0.8007 0.2001
Ni3 Ni 0.6006 0.1993 0.7999
Ni4 Ni 0.8007 0.6006 0.4013
# - DOS at the Fermi energy (states/eV per cell) = 7.0
# - VASP energy (eV per formula unit) = -31.82
# - energy relative to the lowest polymorph listed for this composition (eV per atom) = 0.0000
# - formation enthalpy at 0 K (eV per atom) = -0.0463


# Fe3Ni PBE-GGA relaxed
data_Fe3Ni
_chemical_formula_sum 'Fe6 Ni2'
_symmetry_space_group_name_H-M 'P 1'
_symmetry_Int_Tables_number 1
_symmetry_space_group_name_Hall 'P 1'
_cell_length_a 5.0489
_cell_length_b 5.0489
_cell_length_c 3.4724
_cell_angle_alpha 90.00
_cell_angle_beta 90.00
_cell_angle_gamma 88.19
loop_
_atom_site_label
_atom_site_type_symbol
_atom_site_fract_x
_atom_site_fract_y
_atom_site_fract_z
Fe1 Fe 0.1170 0.8830 0.7500
Fe2 Fe 0.1247 0.3773 0.7500
Fe3 Fe 0.3773 0.1247 0.2500
Fe4 Fe 0.6227 0.8753 0.7500
Fe5 Fe 0.8753 0.6227 0.2500
Fe6 Fe 0.8830 0.1170 0.2500
Ni1 Ni 0.3734 0.6266 0.2500
Ni2 Ni 0.6266 0.3734 0.7500
# - DOS at the Fermi energy (states/eV per cell) = 7.7
# - VASP energy (eV per formula unit) = -30.92
# - formation enthalpy at 0 K (eV per atom) = 0.0631


# Fe2Ni3 PBE-GGA relaxed
data_Fe2Ni3
_chemical_formula_sum 'Fe2 Ni3'
_symmetry_space_group_name_H-M 'P 1'
_symmetry_Int_Tables_number 1
_symmetry_space_group_name_Hall 'P 1'
_cell_length_a 4.3557
_cell_length_b 4.3557
_cell_length_c 5.6211
_cell_angle_alpha 130.12
_cell_angle_beta 130.12
_cell_angle_gamma 48.10
loop_
_atom_site_label
_atom_site_type_symbol
_atom_site_fract_x
_atom_site_fract_y
_atom_site_fract_z
Fe1 Fe 0.0939 0.0939 0.2983
Fe2 Fe 0.9061 0.9061 0.7017
Ni1 Ni 0.3004 0.3004 0.8980
Ni2 Ni 0.5000 0.5000 0.5000
Ni3 Ni 0.6996 0.6996 0.1020
# - DOS at the Fermi energy (states/eV per cell) = 4.4
# - VASP energy (eV per formula unit) = -34.50
# - energy relative to the lowest polymorph listed for this composition (eV per atom) = 0.0000
# - formation enthalpy at 0 K (eV per atom) = -0.0457


# Fe6Ni7 PBE-GGA relaxed
data_Fe6Ni7
_chemical_formula_sum 'Fe6 Ni7'
_symmetry_space_group_name_H-M 'P 1'
_symmetry_Int_Tables_number 1
_symmetry_space_group_name_Hall 'P 1'
_cell_length_a 8.5807
_cell_length_b 8.5807
_cell_length_c 8.5807
_cell_angle_alpha 31.32
_cell_angle_beta 31.32
_cell_angle_gamma 31.32
loop_
_atom_site_label
_atom_site_type_symbol
_atom_site_fract_x
_atom_site_fract_y
_atom_site_fract_z
Fe1 Fe 0.0473 0.0473 0.0473
Fe2 Fe 0.1514 0.1514 0.1514
Fe3 Fe 0.3345 0.3345 0.3345
Fe4 Fe 0.6655 0.6655 0.6655
Fe5 Fe 0.8486 0.8486 0.8486
Fe6 Fe 0.9527 0.9527 0.9527
Ni1 Ni 0.0852 0.5890 0.5890
Ni2 Ni 0.4110 0.4110 0.9148
Ni3 Ni 0.4110 0.9148 0.4110
Ni4 Ni 0.5000 0.5000 0.5000
Ni5 Ni 0.5890 0.0852 0.5890
Ni6 Ni 0.5890 0.5890 0.0852
Ni7 Ni 0.9148 0.4110 0.4110
# - DOS at the Fermi energy (states/eV per cell) = 12.1
# - VASP energy (eV per formula unit) = -90.80
# - formation enthalpy at 0 K (eV per atom) = 0.0346


# Fe2Ni7 PBE-GGA relaxed
data_Fe2Ni7
_chemical_formula_sum 'Fe2 Ni7'
_symmetry_space_group_name_H-M 'P 1'
_symmetry_Int_Tables_number 1
_symmetry_space_group_name_Hall 'P 1'
_cell_length_a 4.3372
_cell_length_b 4.3372
_cell_length_c 6.1099
_cell_angle_alpha 90.00
_cell_angle_beta 90.00
_cell_angle_gamma 120.00
loop_
_atom_site_label
_atom_site_type_symbol
_atom_site_fract_x
_atom_site_fract_y
_atom_site_fract_z
Fe1 Fe 0.3333 0.6667 0.0000
Fe2 Fe 0.6667 0.3333 0.0000
Ni1 Ni 0.0000 0.0000 0.0000
Ni2 Ni 0.0000 0.3362 0.6682
Ni3 Ni 0.0000 0.6638 0.3318
Ni4 Ni 0.3362 0.0000 0.6682
Ni5 Ni 0.3362 0.3362 0.3318
Ni6 Ni 0.6638 0.0000 0.3318
Ni7 Ni 0.6638 0.6638 0.6682
# - DOS at the Fermi energy (states/eV per cell) = 7.5
# - VASP energy (eV per formula unit) = -57.69
# - energy relative to the lowest polymorph listed for this composition (eV per atom) = 0.0000
# - formation enthalpy at 0 K (eV per atom) = -0.0326


# Fe4Ni5 PBE-GGA relaxed
data_Fe4Ni5
_chemical_formula_sum 'Fe8 Ni10'
_symmetry_space_group_name_H-M 'P 1'
_symmetry_Int_Tables_number 1
_symmetry_space_group_name_Hall 'P 1'
_cell_length_a 6.9881
_cell_length_b 6.9881
_cell_length_c 4.8802
_cell_angle_alpha 90.00
_cell_angle_beta 90.00
_cell_angle_gamma 120.00
loop_
_atom_site_label
_atom_site_type_symbol
_atom_site_fract_x
_atom_site_fract_y
_atom_site_fract_z
Fe1 Fe 0.0000 0.0000 0.0000
Fe2 Fe 0.0000 0.0000 0.5000
Fe3 Fe 0.0000 0.3288 0.2500
Fe4 Fe 0.0000 0.6712 0.7500
Fe5 Fe 0.3288 0.0000 0.2500
Fe6 Fe 0.3288 0.3288 0.7500
Fe7 Fe 0.6712 0.0000 0.7500
Fe8 Fe 0.6712 0.6712 0.2500
Ni1 Ni 0.0000 0.3375 0.7500
Ni2 Ni 0.0000 0.6625 0.2500
Ni3 Ni 0.3333 0.6667 0.0000
Ni4 Ni 0.3333 0.6667 0.5000
Ni5 Ni 0.3375 0.0000 0.7500
Ni6 Ni 0.3375 0.3375 0.2500
Ni7 Ni 0.6625 0.0000 0.2500
Ni8 Ni 0.6625 0.6625 0.7500
Ni9 Ni 0.6667 0.3333 0.0000
Ni10 Ni 0.6667 0.3333 0.5000
# - DOS at the Fermi energy (states/eV per cell) = 14.5
# - VASP energy (eV per formula unit) = -62.51
# - energy relative to the lowest polymorph listed for this composition (eV per atom) = 0.0662
# - formation enthalpy at 0 K (eV per atom) = 0.0280


# Fe2Ni PBE-GGA relaxed
data_Fe2Ni
_chemical_formula_sum 'Fe4 Ni2'
_symmetry_space_group_name_H-M 'P 1'
_symmetry_Int_Tables_number 1
_symmetry_space_group_name_Hall 'P 1'
_cell_length_a 4.8873
_cell_length_b 4.8873
_cell_length_c 6.0556
_cell_angle_alpha 106.68
_cell_angle_beta 106.68
_cell_angle_gamma 30.06
loop_
_atom_site_label
_atom_site_type_symbol
_atom_site_fract_x
_atom_site_fract_y
_atom_site_fract_z
Fe1 Fe 0.0000 0.0000 0.0000
Fe2 Fe 0.0480 0.0480 0.5854
Fe3 Fe 0.3340 0.3340 0.6673
Fe4 Fe 0.6787 0.6787 0.3251
Ni1 Ni 0.3879 0.3879 0.2578
Ni2 Ni 0.7145 0.7145 0.9246
# - DOS at the Fermi energy (states/eV per cell) = 5.8
# - VASP energy (eV per formula unit) = -22.56
# - formation enthalpy at 0 K (eV per atom) = 0.0504


# FeNi3 PBE-GGA relaxed
data_FeNi3
_chemical_formula_sum 'Fe1 Ni3'
_symmetry_space_group_name_H-M 'P 1'
_symmetry_Int_Tables_number 1
_symmetry_space_group_name_Hall 'P 1'
_cell_length_a 4.6759
_cell_length_b 4.6759
_cell_length_c 4.6759
_cell_angle_alpha 117.03
_cell_angle_beta 117.03
_cell_angle_gamma 117.03
loop_
_atom_site_label
_atom_site_type_symbol
_atom_site_fract_x
_atom_site_fract_y
_atom_site_fract_z
Fe1 Fe 0.0000 0.0000 0.0000
Ni1 Ni 0.0000 0.5000 0.5000
Ni2 Ni 0.5000 0.0000 0.5000
Ni3 Ni 0.5000 0.5000 0.0000
# - DOS at the Fermi energy (states/eV per cell) = 5.3
# - VASP energy (eV per formula unit) = -25.64
# - formation enthalpy at 0 K (eV per atom) = 0.0420


# FeNi3 PBE-GGA relaxed
data_FeNi3
_chemical_formula_sum 'Fe1 Ni3'
_symmetry_space_group_name_H-M 'P 1'
_symmetry_Int_Tables_number 1
_symmetry_space_group_name_Hall 'P 1'
_cell_length_a 2.5048
_cell_length_b 2.5048
_cell_length_c 8.3131
_cell_angle_alpha 98.78
_cell_angle_beta 98.78
_cell_angle_gamma 59.98
loop_
_atom_site_label
_atom_site_type_symbol
_atom_site_fract_x
_atom_site_fract_y
_atom_site_fract_z
Fe1 Fe 0.0000 0.0000 0.0000
Ni1 Ni 0.2500 0.2500 0.7502
Ni2 Ni 0.5000 0.5000 0.5000
Ni3 Ni 0.7500 0.7500 0.2498
# - DOS at the Fermi energy (states/eV per cell) = 5.4
# - VASP energy (eV per formula unit) = -25.84
# - formation enthalpy at 0 K (eV per atom) = -0.0080


# Fe3Ni PBE-GGA relaxed
data_Fe3Ni
_chemical_formula_sum 'Fe3 Ni1'
_symmetry_space_group_name_H-M 'P 1'
_symmetry_Int_Tables_number 1
_symmetry_space_group_name_Hall 'P 1'
_cell_length_a 2.4584
_cell_length_b 3.6321
_cell_length_c 4.9162
_cell_angle_alpha 90.00
_cell_angle_beta 90.00
_cell_angle_gamma 90.00
loop_
_atom_site_label
_atom_site_type_symbol
_atom_site_fract_x
_atom_site_fract_y
_atom_site_fract_z
Fe1 Fe 0.0000 0.0000 0.0000
Fe2 Fe 0.5000 0.5000 0.2480
Fe3 Fe 0.5000 0.5000 0.7520
Ni1 Ni 0.0000 0.0000 0.5000
# - DOS at the Fermi energy (states/eV per cell) = 4.9
# - VASP energy (eV per formula unit) = -30.87
# - formation enthalpy at 0 K (eV per atom) = 0.0743


# Fe2Ni7 PBE-GGA relaxed
data_Fe2Ni7
_chemical_formula_sum 'Fe2 Ni7'
_symmetry_space_group_name_H-M 'P 1'
_symmetry_Int_Tables_number 1
_symmetry_space_group_name_Hall 'P 1'
_cell_length_a 6.8544
_cell_length_b 6.8544
_cell_length_c 2.4636
_cell_angle_alpha 90.00
_cell_angle_beta 90.00
_cell_angle_gamma 120.00
loop_
_atom_site_label
_atom_site_type_symbol
_atom_site_fract_x
_atom_site_fract_y
_atom_site_fract_z
Fe1 Fe 0.3333 0.6667 0.0000
Fe2 Fe 0.6667 0.3333 0.0000
Ni1 Ni 0.0000 0.0000 0.5000
Ni2 Ni 0.0000 0.3066 0.0000
Ni3 Ni 0.0000 0.6399 0.5000
Ni4 Ni 0.3066 0.0000 0.0000
Ni5 Ni 0.3601 0.3601 0.5000
Ni6 Ni 0.6399 0.0000 0.5000
Ni7 Ni 0.6934 0.6934 0.0000
# - DOS at the Fermi energy (states/eV per cell) = 8.1
# - VASP energy (eV per formula unit) = -57.44
# - energy relative to the lowest polymorph listed for this composition (eV per atom) = 0.0279
# - formation enthalpy at 0 K (eV per atom) = -0.0048


# Fe3Ni PBE-GGA relaxed
data_Fe3Ni
_chemical_formula_sum 'Fe3 Ni1'
_symmetry_space_group_name_H-M 'P 1'
_symmetry_Int_Tables_number 1
_symmetry_space_group_name_Hall 'P 1'
_cell_length_a 2.4747
_cell_length_b 2.4747
_cell_length_c 8.0232
_cell_angle_alpha 90.00
_cell_angle_beta 90.00
_cell_angle_gamma 120.00
loop_
_atom_site_label
_atom_site_type_symbol
_atom_site_fract_x
_atom_site_fract_y
_atom_site_fract_z
Fe1 Fe 0.0000 0.0000 0.0000
Fe2 Fe 0.3333 0.6667 0.2454
Fe3 Fe 0.3333 0.6667 0.7546
Ni1 Ni 0.0000 0.0000 0.5000
# - DOS at the Fermi energy (states/eV per cell) = 5.1
# - VASP energy (eV per formula unit) = -30.78
# - formation enthalpy at 0 K (eV per atom) = 0.0977


# Fe4Ni PBE-GGA relaxed
data_Fe4Ni
_chemical_formula_sum 'Fe4 Ni1'
_symmetry_space_group_name_H-M 'P 1'
_symmetry_Int_Tables_number 1
_symmetry_space_group_name_Hall 'P 1'
_cell_length_a 4.7182
_cell_length_b 4.7182
_cell_length_c 4.7182
_cell_angle_alpha 95.42
_cell_angle_beta 95.42
_cell_angle_gamma 144.20
loop_
_atom_site_label
_atom_site_type_symbol
_atom_site_fract_x
_atom_site_fract_y
_atom_site_fract_z
Fe1 Fe 0.1015 0.3016 0.4031
Fe2 Fe 0.3016 0.8985 0.2002
Fe3 Fe 0.6984 0.1015 0.7998
Fe4 Fe 0.8985 0.6984 0.5969
Ni1 Ni 0.5000 0.5000 0.0000
# - DOS at the Fermi energy (states/eV per cell) = 4.1
# - VASP energy (eV per formula unit) = -39.56
# - formation enthalpy at 0 K (eV per atom) = 0.0141